The following is a DFT calculation (PBE) of crystalline LaDyMgSn at its relaxed geometry.

abc: 7.673 7.673 7.673
angles: 90.00 90.00 90.00
Space group F-43m (No. 216)
Symmetry-distinct sites (fractional):
La: 0.000 0.000 0.000 x4
Dy: 0.000 0.000 0.500 x4
Mg: 0.250 0.250 0.250 x4
Sn: 0.250 0.250 0.750 x4

Properties
E_tot: -67.40 eV/cell

***

The following is a DFT calculation (PBE) of crystalline La2TbDy2Mg5 at its relaxed geometry.

abc: 10.653 10.653 5.122
angles: 90.00 90.00 90.00
Space group P4/mbm (No. 127)
Symmetry-distinct sites (fractional):
La: 0.176 0.324 0.000 x4
Tb: 0.000 0.000 0.000 x2
Dy: 0.121 0.621 0.000 x4
Mg: 0.000 0.500 0.500 x2
Mg: 0.071 0.802 0.500 x8

Properties
E_tot: -63.23 eV/cell

***

The following is a DFT calculation (PBE) of crystalline LaTb2Dy6Mg at its relaxed geometry.

abc: 10.003 19.271 6.669
angles: 90.00 98.56 90.00
Space group C2/c (No. 15)
Symmetry-distinct sites (fractional):
La: 0.000 0.011 0.250 x4
Tb: 0.239 0.417 0.998 x8
Dy: 0.070 0.145 0.538 x8
Dy: 0.104 0.413 0.481 x8
Dy: 0.172 0.259 0.215 x8
Mg: 0.000 0.292 0.750 x4

Properties
E_tot: -168.92 eV/cell

***

The following is a DFT calculation (PBE) of crystalline LaTb6Dy2Mg at its relaxed geometry.

abc: 10.043 19.155 6.709
angles: 90.00 98.26 90.00
Space group C2/c (No. 15)
Symmetry-distinct sites (fractional):
La: 0.000 0.014 0.250 x4
Tb: 0.076 0.144 0.545 x8
Tb: 0.101 0.414 0.480 x8
Tb: 0.171 0.256 0.210 x8
Dy: 0.242 0.416 0.996 x8
Mg: 0.000 0.291 0.750 x4

Properties
E_tot: -169.43 eV/cell

***

The following is a DFT calculation (PBE) of crystalline La2Tb3Dy6Mg at its relaxed geometry.

abc: 6.154 10.666 11.812
angles: 90.00 100.08 90.00
Space group C2/m (No. 12)
Symmetry-distinct sites (fractional):
La: 0.000 0.167 0.000 x4
Tb: 0.000 0.000 0.500 x2
Tb: 0.000 0.334 0.500 x4
Dy: 0.247 0.500 0.746 x4
Dy: 0.249 0.335 0.253 x8
Mg: 0.000 0.500 0.000 x2

Properties
E_tot: -105.47 eV/cell

***

The following is a DFT calculation (PBE) of crystalline La6Tb2Dy3Mg at its relaxed geometry.

abc: 6.301 10.928 11.886
angles: 90.00 100.24 90.00
Space group C2/m (No. 12)
Symmetry-distinct sites (fractional):
La: 0.249 0.000 0.250 x4
La: 0.249 0.166 0.749 x8
Tb: 0.000 0.333 0.500 x4
Dy: 0.000 0.167 0.000 x4
Dy: 0.000 0.500 0.000 x2
Mg: 0.000 0.000 0.500 x2

Properties
E_tot: -107.98 eV/cell

***

The following is a DFT calculation (PBE) of crystalline La6Tb3Dy2Mg at its relaxed geometry.

abc: 6.307 10.941 11.889
angles: 90.00 100.27 90.00
Space group C2/m (No. 12)
Symmetry-distinct sites (fractional):
La: 0.249 0.166 0.248 x8
La: 0.250 0.000 0.751 x4
Tb: 0.000 0.168 0.500 x4
Tb: 0.000 0.500 0.500 x2
Dy: 0.000 0.333 0.000 x4
Mg: 0.000 0.000 0.000 x2

Properties
E_tot: -108.00 eV/cell

***

The following is a DFT calculation (PBE) of crystalline La4Tb2DyMg at its relaxed geometry.

abc: 5.171 5.171 9.999
angles: 90.00 90.00 90.00
Space group P4/mmm (No. 123)
Symmetry-distinct sites (fractional):
La: 0.000 0.500 0.245 x4
Tb: 0.000 0.000 0.000 x1
Tb: 0.500 0.500 0.500 x1
Dy: 0.000 0.000 0.500 x1
Mg: 0.500 0.500 0.000 x1

Properties
E_tot: -35.12 eV/cell

***

The following is a DFT calculation (PBE) of crystalline La6TbDy2Mg at its relaxed geometry.

abc: 10.631 13.855 9.425
angles: 90.00 98.55 90.00
Space group C2/c (No. 15)
Symmetry-distinct sites (fractional):
La: 0.059 0.121 0.100 x8
La: 0.086 0.334 0.916 x8
La: 0.245 0.289 0.328 x8
Tb: 0.000 0.431 0.250 x4
Dy: 0.231 0.467 0.594 x8
Mg: 0.000 0.095 0.750 x4

Properties
E_tot: -176.22 eV/cell

***

The following is a DFT calculation (PBE) of crystalline La6Tb2DyMg at its relaxed geometry.

abc: 10.631 13.858 9.424
angles: 90.00 98.39 90.00
Space group C2/c (No. 15)
Symmetry-distinct sites (fractional):
La: 0.059 0.121 0.100 x8
La: 0.086 0.335 0.916 x8
La: 0.245 0.288 0.328 x8
Tb: 0.231 0.467 0.594 x8
Dy: 0.000 0.431 0.250 x4
Mg: 0.000 0.095 0.750 x4

Properties
E_tot: -176.34 eV/cell

***

The following is a DFT calculation (PBE) of crystalline La2Tb6Dy3Mg at its relaxed geometry.

abc: 6.162 10.682 11.828
angles: 90.00 100.11 90.00
Space group C2/m (No. 12)
Symmetry-distinct sites (fractional):
La: 0.000 0.167 0.000 x4
Tb: 0.247 0.500 0.746 x4
Tb: 0.249 0.335 0.253 x8
Dy: 0.000 0.000 0.500 x2
Dy: 0.000 0.334 0.500 x4
Mg: 0.000 0.500 0.000 x2

Properties
E_tot: -105.66 eV/cell

***

The following is a DFT calculation (PBE) of crystalline LaDyMgTc at its relaxed geometry.

abc: 7.280 7.280 7.280
angles: 90.00 90.00 90.00
Space group F-43m (No. 216)
Symmetry-distinct sites (fractional):
La: 0.000 0.000 0.000 x4
Dy: 0.000 0.000 0.500 x4
Mg: 0.250 0.250 0.250 x4
Tc: 0.250 0.250 0.750 x4

Properties
E_tot: -85.03 eV/cell

***

The following is a DFT calculation (PBE) of crystalline La2DyMgTe5 at its relaxed geometry.

abc: 4.425 19.152 13.571
angles: 90.00 90.00 90.00
Space group Cmc2_1 (No. 36)
Symmetry-distinct sites (fractional):
La: 0.000 0.113 0.000 x4
La: 0.000 0.132 0.624 x4
Dy: 0.000 0.204 0.330 x4
Mg: 0.000 0.445 0.770 x4
Te: 0.000 0.049 0.387 x4
Te: 0.000 0.285 0.986 x4
Te: 0.000 0.311 0.668 x4
Te: 0.000 0.363 0.316 x4
Te: 0.000 0.496 0.090 x4

Properties
E_tot: -175.73 eV/cell
raw formation energy: -1.352 eV/atom

***

The following is a DFT calculation (PBE) of crystalline LaDy2MgTl4 at its relaxed geometry.

abc: 5.2947 5.2947 27.6676
angles: 90.00 90.00 120.00
Space group R-3m (No. 166, hexagonal axes)
Symmetry-distinct sites (fractional):
La: 0.0000 0.0000 0.0000 x3
Dy: 0.0000 0.0000 0.2423 x6
Mg: 0.0000 0.0000 0.5000 x3
Tl: 0.0000 0.0000 0.1261 x6
Tl: 0.0000 0.0000 0.3801 x6

Properties
E_tot: -82.74 eV/cell

***

The following is a DFT calculation (PBE) of crystalline La2Dy2TmMg5 at its relaxed geometry.

abc: 10.619 10.619 5.099
angles: 90.00 90.00 90.00
Space group P4/mbm (No. 127)
Symmetry-distinct sites (fractional):
La: 0.175 0.325 0.000 x4
Dy: 0.121 0.621 0.000 x4
Tm: 0.000 0.000 0.000 x2
Mg: 0.000 0.500 0.500 x2
Mg: 0.069 0.802 0.500 x8

Properties
E_tot: -62.78 eV/cell

***

The following is a DFT calculation (PBE) of crystalline La2DyTm2Mg5 at its relaxed geometry.

abc: 10.626 10.626 5.089
angles: 90.00 90.00 90.00
Space group P4/mbm (No. 127)
Symmetry-distinct sites (fractional):
La: 0.176 0.324 0.000 x4
Dy: 0.000 0.000 0.000 x2
Tm: 0.120 0.620 0.000 x4
Mg: 0.000 0.500 0.500 x2
Mg: 0.070 0.801 0.500 x8

Properties
E_tot: -62.55 eV/cell

***

The following is a DFT calculation (PBE) of crystalline La2DyY2Mg at its relaxed geometry.

abc: 10.923 11.722 3.612
angles: 90.00 90.00 90.00
Space group Pnnm (No. 58)
Symmetry-distinct sites (fractional):
La: 0.248 0.062 0.000 x4
Dy: 0.000 0.000 0.500 x2
Y: 0.072 0.768 0.000 x4
Mg: 0.000 0.500 0.000 x2

Properties
E_tot: -52.60 eV/cell

***

The following is a DFT calculation (PBE) of crystalline La2DyY2Mg5 at its relaxed geometry.

abc: 10.699 10.699 5.106
angles: 90.00 90.00 90.00
Space group P4/mbm (No. 127)
Symmetry-distinct sites (fractional):
La: 0.176 0.324 0.000 x4
Dy: 0.000 0.000 0.000 x2
Y: 0.122 0.622 0.000 x4
Mg: 0.000 0.500 0.500 x2
Mg: 0.070 0.803 0.500 x8

Properties
E_tot: -70.53 eV/cell

***

Calculated DOS(E_F), 0.752 0.703 1.526 1.530 1.512 1.165 1.177 1.283 1.474 1.486 1.506 0.629 0.333 0.664 0.697 0.729 1.584 0.729 states/eV per atom (same order as the records).